Entry 1:
PBE Ac4AsS3, optimized geometry; energy relative to the elements, uncorrected = -1.890 eV per atom; mass density = 7.6 g cm⁻³; DOS(E_F) = 0.3685 states/eV/atom; SG = Pm-3m, No. 221
1.0
6.184 0.000 0.000
0.000 6.184 0.000
0.000 0.000 6.184
Ac As S
4 1 3
Cartesian
0.000 0.000 0.000 Ac
0.000 3.092 3.092 Ac
3.092 0.000 3.092 Ac
3.092 3.092 0.000 Ac
3.092 3.092 3.092 As
0.000 0.000 3.092 S
0.000 3.092 0.000 S
3.092 0.000 0.000 S

Entry 2:
PBE KRb2Pa2O7, optimized geometry; energy relative to the elements, uncorrected = -2.616 eV per atom; mass density = 5.7 g cm⁻³; DOS(E_F) = 1.0409 states/eV/atom; SG = Immm, No. 71
1.0
-2.246 2.252 11.357
2.246 -2.252 11.357
2.246 2.252 -11.357
K Rb Pa O
1 2 2 7
Cartesian
0.000 0.000 0.000 K
2.246 0.000 5.653 Rb
0.000 2.252 5.704 Rb
0.000 0.000 9.186 Pa
0.000 0.000 13.528 Pa
2.246 0.000 2.111 O
0.000 0.000 7.140 O
2.246 0.000 9.251 O
0.000 0.000 11.357 O
0.000 2.252 2.106 O
0.000 0.000 15.574 O
0.000 2.252 9.245 O

Entry 3:
PBE TbZnNiPt, optimized geometry; formation energy from the elements = -0.5728 eV per atom; mass density = 11.5 g cm⁻³; DOS(E_F) = 0.6442 states/eV/atom; SG = F-43m, No. 216
1.0
0.000 3.257 3.257
3.257 0.000 3.257
3.257 3.257 0.000
Tb Zn Ni Pt
1 1 1 1
Cartesian
0.000 0.000 0.000 Tb
3.257 3.257 3.257 Zn
4.885 4.885 4.885 Ni
1.628 1.628 1.628 Pt

Entry 4:
PBE TiBe2Cr, optimized geometry; relative energy among the computed polymorphs = 0.424 eV per atom; formation energy from the elements = 0.4186 eV per atom; mass density = 4.1 g cm⁻³; DOS(E_F) = 0.4832 states/eV/atom; SG = R-3m, No. 166
1.0
1.514 0.874 6.008
-1.514 0.874 6.008
0.000 -1.748 6.008
Ti Be Cr
1 2 1
Cartesian
0.000 0.000 0.000 Ti
0.000 0.000 4.326 Be
0.000 0.000 13.700 Be
0.000 0.000 9.013 Cr

Entry 5:
PBE NaSr2Ge3Pt4, optimized geometry; formation energy from the elements = -0.7143 eV per atom; mass density = 9.6 g cm⁻³; DOS(E_F) = 0.5863 states/eV/atom; SG = P-4m2, No. 115
1.0
4.430 0.000 0.000
0.000 4.430 0.000
0.000 0.000 10.595
Na Sr Ge Pt
1 2 3 4
Cartesian
0.000 0.000 0.000 Na
0.000 2.215 7.915 Sr
2.215 0.000 2.680 Sr
0.000 2.215 4.029 Ge
2.215 0.000 6.566 Ge
2.215 2.215 0.000 Ge
0.000 0.000 5.298 Pt
0.000 2.215 1.552 Pt
2.215 0.000 9.043 Pt
2.215 2.215 5.298 Pt

Entry 6:
PBE La2InPb5, optimized geometry; formation energy from the elements = -0.4621 eV per atom; mass density = 9.9 g cm⁻³; DOS(E_F) = 0.4608 states/eV/atom; SG = Pbam, No. 55
1.0
6.923 0.000 0.000
0.000 13.869 0.000
0.000 0.000 4.984
La In Pb
4 2 10
Cartesian
1.683 1.757 0.000 La
1.779 8.691 0.000 La
5.144 5.178 0.000 La
5.241 12.112 0.000 La
0.000 6.934 2.492 In
3.462 0.000 2.492 In
0.000 0.000 2.492 Pb
0.023 10.362 2.492 Pb
1.680 5.236 0.000 Pb
1.782 12.171 0.000 Pb
3.438 3.428 2.492 Pb
3.462 6.934 2.492 Pb
3.485 10.441 2.492 Pb
5.142 1.698 0.000 Pb
5.243 8.633 0.000 Pb
6.900 3.507 2.492 Pb

Entry 7:
PBE Ca2Cu, optimized geometry; formation energy from the elements = 0.3864 eV per atom; mass density = 3.0 g cm⁻³; DOS(E_F) = 1.0107 states/eV/atom; SG = P6/mmm, No. 191
1.0
5.291 0.000 0.000
-2.645 4.582 0.000
0.000 0.000 3.289
Ca Cu
2 1
Cartesian
0.000 3.055 0.000 Ca
2.645 1.527 0.000 Ca
0.000 0.000 1.644 Cu

Entry 8:
PBE CeEr2TmS4, optimized geometry; energy relative to the elements, uncorrected = -1.973 eV per atom; mass density = 7.6 g cm⁻³; DOS(E_F) = 0.9013 states/eV/atom; SG = P2/m, No. 10
1.0
6.758 0.000 0.000
0.000 3.877 0.000
-2.230 0.000 6.396
Ce Er Tm S
1 2 1 4
Cartesian
0.000 0.000 0.000 Ce
2.264 0.000 3.198 Er
3.379 1.938 0.000 Er
-1.115 1.938 3.198 Tm
0.052 0.000 4.757 S
1.169 1.938 1.665 S
3.359 1.938 4.730 S
4.476 0.000 1.638 S

Entry 9:
PBE AcPuTeAs, optimized geometry; relative energy among the computed polymorphs = 0.193 eV per atom; energy relative to the elements, uncorrected = -1.014 eV per atom; mass density = 9.8 g cm⁻³; DOS(E_F) = 2.1028 states/eV/atom; SG = F-43m, No. 216
1.0
0.000 3.855 3.855
3.855 0.000 3.855
3.855 3.855 0.000
Ac Pu Te As
1 1 1 1
Cartesian
0.000 0.000 0.000 Ac
3.855 3.855 3.855 Pu
5.782 5.782 5.782 Te
1.927 1.927 1.927 As

Entry 10:
PBE Tb2PrMg4, optimized geometry; relative energy among the computed polymorphs = 0.000 eV per atom; formation energy from the elements = 0.1296 eV per atom; mass density = 4.3 g cm⁻³; DOS(E_F) = 0.8708 states/eV/atom; SG = I4/mmm, No. 139
1.0
-2.691 2.691 7.467
2.691 -2.691 7.467
2.691 2.691 -7.467
Tb Pr Mg
2 1 4
Cartesian
0.000 0.000 3.720 Tb
0.000 0.000 11.215 Tb
0.000 0.000 7.467 Pr
2.691 0.000 1.803 Mg
2.691 0.000 5.664 Mg
0.000 2.691 1.803 Mg
0.000 2.691 5.664 Mg

Entry 11:
PBE Cs2ZnH4, optimized geometry; raw total energy = -2.60 eV per atom; mass density = 3.7 g cm⁻³; DOS(E_F) = 0.0000 states/eV/atom; SG = Pnma, No. 62
1.0
8.594 0.000 0.000
0.000 6.326 0.000
0.000 0.000 11.105
Cs Zn H
8 4 16
Cartesian
0.127 1.582 2.048 Cs
1.361 4.745 4.502 Cs
2.936 1.582 10.054 Cs
4.170 4.745 7.601 Cs
4.424 1.582 3.504 Cs
5.658 4.745 1.051 Cs
7.234 1.582 6.603 Cs
8.468 4.745 9.057 Cs
2.096 4.745 0.935 Zn
2.201 1.582 6.488 Zn
6.393 4.745 4.617 Zn
6.498 1.582 10.169 Zn
0.433 4.745 1.055 H
1.602 0.210 7.231 H
1.602 2.953 7.231 H
1.662 1.582 4.901 H
2.635 4.745 10.453 H
2.695 3.373 1.679 H
2.695 6.116 1.679 H
3.865 1.582 6.607 H
4.730 4.745 4.498 H
5.899 0.210 9.426 H
5.899 2.953 9.426 H
5.959 1.582 0.651 H
6.932 4.745 6.204 H
6.992 3.373 3.873 H
6.992 6.116 3.873 H
8.162 1.582 10.050 H

Entry 12:
PBE KCd2As, optimized geometry; formation energy from the elements = -0.2441 eV per atom; mass density = 4.9 g cm⁻³; DOS(E_F) = 0.1088 states/eV/atom; SG = P4/nmm, No. 129
1.0
4.538 0.000 0.000
0.000 4.538 0.000
0.000 0.000 11.117
K Cd As
2 4 2
Cartesian
1.134 1.134 2.723 K
3.403 3.403 8.394 K
1.134 1.134 10.436 Cd
1.134 3.403 5.558 Cd
3.403 1.134 5.558 Cd
3.403 3.403 0.680 Cd
1.134 1.134 7.249 As
3.403 3.403 3.868 As

Entry 13:
PBE La2TiP4Pt3, optimized geometry; formation energy from the elements = -1.0949 eV per atom; mass density = 9.4 g cm⁻³; DOS(E_F) = 0.5145 states/eV/atom; SG = P-4m2, No. 115
1.0
4.310 0.000 0.000
0.000 4.310 0.000
0.000 0.000 9.872
La Ti P Pt
2 1 4 3
Cartesian
0.000 2.155 2.329 La
2.155 0.000 7.543 La
0.000 0.000 4.936 Ti
0.000 0.000 0.000 P
0.000 2.155 6.266 P
2.155 0.000 3.606 P
2.155 2.155 0.000 P
0.000 2.155 8.759 Pt
2.155 0.000 1.114 Pt
2.155 2.155 4.936 Pt

Entry 14:
PBE ErZnNiIr, optimized geometry; formation energy from the elements = -0.4173 eV per atom; mass density = 12.4 g cm⁻³; DOS(E_F) = 0.3095 states/eV/atom; SG = F-43m, No. 216
1.0
0.000 3.189 3.189
3.189 0.000 3.189
3.189 3.189 0.000
Er Zn Ni Ir
1 1 1 1
Cartesian
0.000 0.000 0.000 Er
3.189 3.189 3.189 Zn
1.595 1.595 1.595 Ni
4.784 4.784 4.784 Ir

Entry 15:
PBE MnPbW2, optimized geometry; formation energy from the elements = 0.7361 eV per atom; mass density = 15.4 g cm⁻³; DOS(E_F) = 0.4238 states/eV/atom; SG = P4/mmm, No. 123
1.0
3.945 0.000 0.000
0.000 3.945 0.000
0.000 0.000 4.376
Mn Pb W
1 1 2
Cartesian
0.000 0.000 0.000 Mn
1.972 1.972 0.000 Pb
0.000 1.972 2.188 W
1.972 0.000 2.188 W

Entry 16:
PBE Dy4TmSc, optimized geometry; formation energy from the elements = 0.0346 eV per atom; mass density = 8.0 g cm⁻³; DOS(E_F) = 1.3924 states/eV/atom; SG = C2/m, No. 12
1.0
5.503 -2.465 0.000
5.503 2.465 0.000
-2.204 0.000 6.618
Dy Tm Sc
4 1 1
Cartesian
1.078 0.000 2.187 Dy
-0.003 0.000 5.527 Dy
8.806 0.000 1.092 Dy
7.725 0.000 4.432 Dy
4.401 0.000 3.309 Tm
5.503 0.000 0.000 Sc

Entry 17:
PBE TbPm6PrSc2, optimized geometry; formation energy from the elements = 0.1222 eV per atom; mass density = 6.4 g cm⁻³; DOS(E_F) = 1.5791 states/eV/atom; SG = C2/c, No. 15
1.0
4.566 -7.482 0.000
4.566 7.482 0.000
-1.442 0.000 9.526
Tb Pm Pr Sc
2 12 2 4
Cartesian
3.485 7.020 7.145 Tb
4.206 -7.020 2.382 Tb
1.679 4.070 6.469 Pm
3.878 4.899 0.517 Pm
4.534 4.899 4.246 Pm
2.409 1.527 8.385 Pm
5.290 4.070 7.820 Pm
4.561 1.527 5.905 Pm
3.130 -1.527 3.621 Pm
2.400 -4.070 1.706 Pm
5.282 -1.527 1.142 Pm
3.157 -4.899 5.280 Pm
3.813 -4.899 9.010 Pm
6.011 -4.070 3.057 Pm
4.206 1.447 2.382 Pr
3.485 -1.447 7.145 Pr
1.424 0.723 5.232 Sc
2.145 -0.723 0.469 Sc
5.545 0.723 9.058 Sc
6.266 -0.723 4.294 Sc

Entry 18:
PBE La10PrHo4, optimized geometry; formation energy from the elements = 0.2051 eV per atom; mass density = 6.8 g cm⁻³; DOS(E_F) = 1.5447 states/eV/atom; SG = I4/mmm, No. 139
1.0
-5.794 5.794 3.990
5.794 -5.794 3.990
5.794 5.794 -3.990
La Pr Ho
10 1 4
Cartesian
5.794 -3.262 2.324 La
2.533 0.000 1.666 La
9.056 0.000 1.666 La
5.794 0.000 1.995 La
0.000 2.533 1.666 La
5.794 3.262 2.324 La
0.000 5.794 1.995 La
-3.262 5.794 2.324 La
3.262 5.794 2.324 La
0.000 9.056 1.666 La
0.000 0.000 3.990 Pr
3.138 3.138 0.000 Ho
2.656 -2.656 3.990 Ho
-2.656 2.656 3.990 Ho
2.656 2.656 3.990 Ho

Entry 19:
PBE CdBi, optimized geometry; formation energy from the elements = 0.0632 eV per atom; mass density = 9.1 g cm⁻³; DOS(E_F) = 0.3627 states/eV/atom; SG = P-1, No. 2
1.0
3.373 0.000 0.000
-0.090 6.089 0.000
-1.585 -1.545 5.730
Cd Bi
2 2
Cartesian
0.005 1.109 2.388 Cd
1.693 3.435 3.341 Cd
-0.031 4.536 0.756 Bi
1.729 0.008 4.974 Bi

Entry 20:
PBE AlCrAg2, optimized geometry; formation energy from the elements = 0.1617 eV per atom; mass density = 7.4 g cm⁻³; DOS(E_F) = 0.4431 states/eV/atom; SG = I-4m2, No. 119
1.0
-2.066 2.066 3.897
2.066 -2.066 3.897
2.066 2.066 -3.897
Al Cr Ag
1 1 2
Cartesian
0.000 0.000 0.000 Al
2.066 0.000 1.948 Cr
0.000 0.000 3.897 Ag
0.000 2.066 1.948 Ag

Entry 21:
PBE CsRh3N, optimized geometry; relative energy among the computed polymorphs = 2.262 eV per atom; energy relative to the elements, uncorrected = 3.113 eV per atom; mass density = 5.9 g cm⁻³; DOS(E_F) = 1.3591 states/eV/atom; SG = Pm-3m, No. 221
1.0
5.039 0.000 0.000
0.000 5.039 0.000
0.000 0.000 5.039
Cs Rh N
1 3 1
Cartesian
0.000 0.000 0.000 Cs
0.000 0.000 2.520 Rh
0.000 2.520 0.000 Rh
2.520 0.000 0.000 Rh
2.520 2.520 2.520 N

Entry 22:
PBE InBi2, optimized geometry; formation energy from the elements = 0.1632 eV per atom; mass density = 8.5 g cm⁻³; DOS(E_F) = 1.1328 states/eV/atom; SG = Fd-3m, No. 227
1.0
0.000 4.700 4.700
4.700 0.000 4.700
4.700 4.700 0.000
In Bi
2 4
Cartesian
1.175 1.175 1.175 In
8.226 8.226 8.226 In
4.700 2.350 2.350 Bi
2.350 4.700 2.350 Bi
2.350 2.350 4.700 Bi
4.700 4.700 4.700 Bi

Entry 23:
PBE IrPb, optimized geometry; formation energy from the elements = 1.0379 eV per atom; mass density = 9.3 g cm⁻³; DOS(E_F) = 0.7908 states/eV/atom; SG = Pm-3n, No. 223
1.0
7.530 0.000 0.000
0.000 7.530 0.000
0.000 0.000 7.530
Ir Pb
6 6
Cartesian
0.000 1.883 3.765 Ir
0.000 5.648 3.765 Ir
1.883 3.765 0.000 Ir
3.765 0.000 1.883 Ir
3.765 0.000 5.648 Ir
5.648 3.765 0.000 Ir
0.000 3.765 1.883 Pb
0.000 3.765 5.648 Pb
1.883 0.000 3.765 Pb
3.765 1.883 0.000 Pb
3.765 5.648 0.000 Pb
5.648 0.000 3.765 Pb